# 1
Pu4Te3H4: relaxed, PBE.

## Properties
Its symmetry is No. 71. Its total energy is -7.9029 eV per atom. The value obtained for the offset from the most stable computed form is 65 meV per atom.

Cell: 8.307 8.307 8.307 Å, 151.43 126.36 61.89°
Fractional positions:
1 Pu 0.213 0.213 0.000
2 Pu 0.286 0.500 0.786
3 Pu 0.714 0.500 0.214
4 Pu 0.787 0.787 0.000
5 Te 0.000 0.000 0.000
6 Te 0.374 0.874 0.500
7 Te 0.626 0.126 0.500
8 H 0.007 0.333 0.674
9 H 0.341 0.667 0.674
10 H 0.659 0.333 0.326
11 H 0.993 0.667 0.326

# 2
LiNbN2O: relaxed, PBE.

## Properties
Its symmetry is No. 123. Its total energy is -7.1821 eV per atom.

Cell: 4.098 4.098 4.030 Å, 90.00 90.00 90.00°
Fractional positions:
1 Li 0.000 0.000 0.000
2 Nb 0.500 0.500 0.500
3 N 0.000 0.500 0.500
4 N 0.500 0.000 0.500
5 O 0.500 0.500 0.000

# 3
Tb2Pm2Pd3: relaxed, PBE.

## Properties
Its symmetry is No. 2. Its formation energy is -0.595 eV/atom. Its total energy is -5.5010 eV per atom.

Cell: 4.168 6.975 7.223 Å, 99.09 90.06 107.31°
Fractional positions:
1 Tb 0.129 0.259 0.396
2 Tb 0.871 0.741 0.604
3 Pm 0.370 0.744 0.132
4 Pm 0.630 0.256 0.868
5 Pd 0.258 0.514 0.755
6 Pd 0.500 0.000 0.500
7 Pd 0.742 0.486 0.245

# 4
TaNbBr2: relaxed, PBE.

## Properties
Its symmetry is No. 225. Its total energy is -5.4851 eV per atom. The value obtained for the offset from the most stable computed form is 570 meV per atom.

Cell: 4.659 4.659 4.659 Å, 60.00 60.00 60.00°
Fractional positions:
1 Ta 0.000 0.000 0.000
2 Nb 0.500 0.500 0.500
3 Br 0.250 0.250 0.250
4 Br 0.750 0.750 0.750

# 5
PuHgBiSb: relaxed, PBE.

## Properties
Its symmetry is No. 47. Its total energy is -5.9555 eV per atom. The value obtained for the offset from the most stable computed form is 0 meV per atom.

Cell: 4.469 4.766 4.995 Å, 90.00 90.00 90.00°
Fractional positions:
1 Pu 0.000 0.000 0.000
2 Hg 0.000 0.500 0.500
3 Bi 0.500 0.000 0.500
4 Sb 0.500 0.500 0.000

# 6
NbCd2Pd: relaxed, PBE.

## Properties
Its symmetry is No. 225. Its formation energy is 0.152 eV/atom. Its total energy is -4.1208 eV per atom.

Cell: 4.705 4.705 4.705 Å, 60.00 60.00 60.00°
Fractional positions:
1 Nb 0.000 0.000 0.000
2 Cd 0.250 0.250 0.250
3 Cd 0.750 0.750 0.750
4 Pd 0.500 0.500 0.500

Calculated DOS at the Fermi energy, 3.317, 0.387, 0.767, 1.460, 2.480, 0.762 states/eV/atom (same order as the records).